# 1
# BiBTeS2 | the Alexandria database | GGA-PBE | optimized geometry
data_BiBTeS2
_cell_length_a 4.9767
_cell_length_b 4.9767
_cell_length_c 6.0783
_cell_angle_alpha 90.00
_cell_angle_beta 90.00
_cell_angle_gamma 90.00
_symmetry_space_group_name_H-M 'P 4/m m m'
_symmetry_Int_Tables_number 123
_symmetry_space_group_name_Hall '-P 4 2'
loop_
_atom_site_label
_atom_site_fract_x
_atom_site_fract_y
_atom_site_fract_z
Bi1 0.0000 0.0000 0.0000
B1 0.5000 0.5000 0.0000
Te1 0.0000 0.0000 0.5000
S1 0.0000 0.5000 0.5000
# Spin magnetization   0.000 μB per cell
# DOS(E_F)   4.50 states/eV per cell
# Calculated volume   30.109 Å³/atom
# Uncorrected formation energy   7.37 eV/f.u.
# Crystal system   tetragonal



# 2
# Tl2HgPtPb | the Alexandria database | GGA-PBE | optimized geometry
data_Tl2HgPtPb
_cell_length_a 5.3170
_cell_length_b 5.3170
_cell_length_c 5.5987
_cell_angle_alpha 90.00
_cell_angle_beta 90.00
_cell_angle_gamma 90.00
_symmetry_space_group_name_H-M 'P 4/m m m'
_symmetry_Int_Tables_number 123
_symmetry_space_group_name_Hall '-P 4 2'
loop_
_atom_site_label
_atom_site_fract_x
_atom_site_fract_y
_atom_site_fract_z
Tl1 0.0000 0.5000 0.0000
Hg1 0.0000 0.0000 0.5000
Pt1 0.5000 0.5000 0.0000
Pb1 0.5000 0.5000 0.5000
# DFT formation energy   0.0360 eV per atom
# Spin magnetization   0.000 μB per cell
# DOS(E_F)   3.85 states/eV per cell
# Calculated volume   31.655 Å³/atom
# Crystal system   tetragonal



# 3
# Ge2PbN | the Alexandria database | GGA-PBE | optimized geometry
data_Ge2PbN
_cell_length_a 6.7226
_cell_length_b 6.7226
_cell_length_c 6.7226
_cell_angle_alpha 90.00
_cell_angle_beta 90.00
_cell_angle_gamma 90.00
_symmetry_space_group_name_H-M 'F m -3 m'
_symmetry_Int_Tables_number 225
_symmetry_space_group_name_Hall '-F 4 2 3'
loop_
_atom_site_label
_atom_site_fract_x
_atom_site_fract_y
_atom_site_fract_z
Ge1 0.2500 0.2500 0.2500
Pb1 0.0000 0.0000 0.0000
N1 0.0000 0.0000 0.5000
# Spin magnetization   0.000 μB per cell
# DOS(E_F)   8.54 states/eV per cell
# Calculated volume   18.989 Å³/atom
# Uncorrected formation energy   5.16 eV/f.u.
# Crystal system   cubic



- Among the records above, which one has the highest DOS(E_F)?
  Ge2PbN